{
  "formula": "MnSeNF2",
  "functional": "GGA+U",
  "state": "relaxed",
  "cell": [[3.8342, 0.0000, 0.0000], [0.0000, 3.8342, 0.0000], [0.0000, 0.0000, 4.5810]],
  "species": ["N", "Mn", "Se", "F", "F"],
  "frac_coords": [[0.0000, 0.0000, 0.5000], [0.0000, 0.0000, 0.0000], [0.5000, 0.5000, 0.5000], [0.0000, 0.5000, 0.0000], [0.5000, 0.0000, 0.0000]],
  "de_polymorph_ev_per_fu": 0.00,
  "energy_ev_per_atom": -5.020
}